Entry 1:
BTeN2F after structural relaxation. Source: the Alexandria database, functional PBE-GGA.

Calculated values
Its crystal system is tetragonal. The value obtained for the density of states at the Fermi level is 0.526 states/eV/atom. Its energy relative to the lowest polymorph listed for this composition is 0.282 eV per atom. As for the symmetry: No. 123.

Cell lengths 3.3005, 3.3005, 5.3121 Å; angles 90.00, 90.00, 90.00 degrees
Closest atoms and distances in Å follow each position.
Element x y z (fractional)
B  0.0000  0.0000  0.0000  4 N 1.65
Te  0.0000  0.0000  0.5000  4 F 2.33
N  0.0000  0.5000  0.0000  2 B 1.65
N  0.5000  0.0000  0.0000  2 B 1.65
F  0.5000  0.5000  0.5000  4 Te 2.33

Entry 2:
MgCdPtN2 after structural relaxation. Source: the Alexandria database, functional PBE-GGA.

Calculated values
Its crystal system is tetragonal. The value obtained for the density of states at the Fermi level is 0.463 states/eV/atom. Its energy relative to the lowest polymorph listed for this composition is 0.550 eV per atom. As for the symmetry: No. 123.

Cell lengths 4.1841, 4.1841, 5.3157 Å; angles 90.00, 90.00, 90.00 degrees
Closest atoms and distances in Å follow each position.
Element x y z (fractional)
Mg  0.0000  0.0000  0.0000  4 Pt 2.96
Cd  0.5000  0.5000  0.5000  4 N 2.09
Pt  0.5000  0.5000  0.0000  2 Cd 2.66, 4 Mg 2.96
N  0.0000  0.5000  0.5000  2 Cd 2.09
N  0.5000  0.0000  0.5000  2 Cd 2.09

Entry 3:
BiRuClF2 after structural relaxation. Source: the Alexandria database, functional PBE-GGA.

Calculated values
Its crystal system is tetragonal. The value obtained for the density of states at the Fermi level is 0.320 states/eV/atom. For the total energy, the calculation gives -4.432 eV/atom. As for the symmetry: No. 123.

Cell lengths 4.4102, 4.4102, 5.5203 Å; angles 90.00, 90.00, 90.00 degrees
Closest atoms and distances in Å follow each position.
Element x y z (fractional)
Bi  0.0000  0.0000  0.0000  4 F 2.21
Ru  0.0000  0.0000  0.5000  2 Bi 2.76
Cl  0.5000  0.5000  0.5000  4 Ru 3.12
F  0.0000  0.5000  0.0000  2 Bi 2.21
F  0.5000  0.0000  0.0000  2 Bi 2.21

Entry 4:
TaV2Fe after structural relaxation. Source: the Alexandria database, functional PBE-GGA.

Calculated values
Its crystal system is cubic. The value obtained for the formation energy is -0.01 eV/atom. The value obtained for the density of states at the Fermi level is 0.475 states/eV/atom. Its energy relative to the lowest polymorph listed for this composition is 0.033 eV per atom. As for the symmetry: No. 225.

Cell lengths 4.2579, 4.2579, 4.2579 Å; angles 60.00, 60.00, 60.00 degrees
Closest atoms and distances in Å follow each position.
Element x y z (fractional)
Ta  0.0000  0.0000  0.0000  8 V 2.61
V  0.2500  0.2500  0.2500  4 Ta 2.61, 4 Fe 2.61
V  0.7500  0.7500  0.7500  4 Ta 2.61, 4 Fe 2.61
Fe  0.5000  0.5000  0.5000  8 V 2.61

Entry 5:
Er2Sc3Pt2 after structural relaxation. Source: the Alexandria database, functional PBE-GGA.

Calculated values
Its crystal system is monoclinic. The value obtained for the formation energy is -0.77 eV/atom. The value obtained for the density of states at the Fermi level is 1.360 states/eV/atom. As for the symmetry: No. 12.

Cell lengths 5.6908, 5.6908, 7.5186 Å; angles 111.18, 111.18, 45.75 degrees
Closest atoms and distances in Å follow each position.
Element x y z (fractional)
Er  0.1428  0.1428  0.2979  4 Pt 3.01-3.11, 2 Sc 3.35
Er  0.8572  0.8572  0.7021  4 Pt 3.01-3.11, 2 Sc 3.35
Sc  0.3672  0.3672  0.0556  3 Pt 2.70-2.92
Sc  0.5000  0.5000  0.5000  4 Pt 2.82, 2 Sc 3.07
Sc  0.6328  0.6328  0.9444  3 Pt 2.70-2.92
Pt  0.1545  0.1545  0.7049  5 Sc 2.70-2.92, 1 Er 3.01
Pt  0.8455  0.8455  0.2951  5 Sc 2.70-2.92, 1 Er 3.01

Entry 6:
TbGdMn4 after structural relaxation. Source: the Alexandria database, functional PBE-GGA.

Calculated values
Its crystal system is cubic. The value obtained for the formation energy is 0.20 eV/atom. The value obtained for the density of states at the Fermi level is 1.678 states/eV/atom. As for the symmetry: No. 216.

Cell lengths 5.1176, 5.1176, 5.1176 Å; angles 60.00, 60.00, 60.00 degrees
Closest atoms and distances in Å follow each position.
Element x y z (fractional)
Tb  0.0000  0.0000  0.0000  12 Mn 3.00, 4 Gd 3.13
Gd  0.7500  0.7500  0.7500  12 Mn 3.00, 4 Tb 3.13
Mn  0.3750  0.3750  0.3750  6 Mn 2.56
Mn  0.3750  0.3750  0.8750  6 Mn 2.56
Mn  0.3750  0.8750  0.3750  6 Mn 2.56
Mn  0.8750  0.3750  0.3750  6 Mn 2.56